TbNi2B2 after structural relaxation. Source: the Alexandria database, functional GGA-PBE.

Computed properties:
Uncorrected energy: -6.341 eV per atom
Space-group type: C2/m (12)
ΔH_f (0 K): -41.6 kJ per mole of atoms

Unit cell a=5.1570 b=5.1570 c=3.9299 alpha=102.77 beta=102.77 gamma=36.76
Sites, in units of the cell vectors:
Tb 0.0000 0.0000 0.0000
Ni 0.3289 0.3289 0.4054
Ni 0.6711 0.6711 0.5946
B 0.2657 0.2657 0.8771
B 0.7343 0.7343 0.1229

---

Tb3Ni19B10 after structural relaxation. Source: the Alexandria database, functional GGA-PBE.

Computed properties:
Uncorrected energy: -6.381 eV per atom
Space-group type: C2/m (12)
ΔH_f (0 K): -41.3 kJ per mole of atoms

Unit cell a=7.9035 b=7.9035 c=5.7847 alpha=91.12 beta=91.12 gamma=67.20
Sites, in units of the cell vectors:
Tb 0.0000 0.0000 0.0000
Tb 0.3743 0.3743 0.6124
Tb 0.6257 0.6257 0.3876
Ni 0.0000 0.0000 0.5000
Ni 0.0451 0.5180 0.3015
Ni 0.1218 0.6220 0.9257
Ni 0.1627 0.1627 0.7016
Ni 0.1825 0.1825 0.2707
Ni 0.2293 0.7117 0.3012
Ni 0.2883 0.7707 0.6988
Ni 0.3781 0.3781 0.1245
Ni 0.3780 0.8782 0.0743
Ni 0.4820 0.9549 0.6985
Ni 0.5180 0.0451 0.3015
Ni 0.6220 0.1218 0.9257
Ni 0.6219 0.6219 0.8755
Ni 0.7117 0.2293 0.3012
Ni 0.7707 0.2883 0.6988
Ni 0.8175 0.8175 0.7293
Ni 0.8373 0.8373 0.2984
Ni 0.8782 0.3780 0.0743
Ni 0.9549 0.4820 0.6985
B 0.0640 0.6999 0.5688
B 0.1428 0.3484 0.9742
B 0.3001 0.9360 0.4312
B 0.3484 0.1428 0.9742
B 0.3828 0.6172 0.0000
B 0.6172 0.3828 0.0000
B 0.6516 0.8572 0.0258
B 0.6999 0.0640 0.5688
B 0.8572 0.6516 0.0258
B 0.9360 0.3001 0.4312

---

TbNi6B after structural relaxation. Source: the Alexandria database, functional GGA-PBE.

Computed properties:
Uncorrected energy: -5.902 eV per atom
Space-group type: P4/mmm (123)
ΔH_f (0 K): -14.8 kJ per mole of atoms

Unit cell a=3.5616 b=3.5616 c=7.9582 alpha=90.00 beta=90.00 gamma=90.00
Sites, in units of the cell vectors:
Tb 0.0000 0.0000 0.0000
Ni 0.0000 0.5000 0.3522
Ni 0.0000 0.5000 0.6478
Ni 0.5000 0.0000 0.3522
Ni 0.5000 0.0000 0.6478
Ni 0.5000 0.5000 0.1496
Ni 0.5000 0.5000 0.8504
B 0.0000 0.0000 0.5000

---

TbNi2B after structural relaxation. Source: the Alexandria database, functional GGA-PBE.

Computed properties:
Uncorrected energy: -6.032 eV per atom
Space-group type: R-3m (166)
ΔH_f (0 K): -30.4 kJ per mole of atoms

Unit cell a=5.2612 b=5.2612 c=5.2612 alpha=40.81 beta=40.81 gamma=40.81
Sites, in units of the cell vectors:
Tb 0.0000 0.0000 0.0000
Ni 0.2000 0.2000 0.2000
Ni 0.8000 0.8000 0.8000
B 0.5000 0.5000 0.5000

---

TbNi5B3 after structural relaxation. Source: the Alexandria database, functional GGA-PBE.

Computed properties:
Uncorrected energy: -6.314 eV per atom
Space-group type: Cmcm (63)
ΔH_f (0 K): -34.9 kJ per mole of atoms

Unit cell a=5.6202 b=5.6202 c=10.7226 alpha=90.00 beta=90.00 gamma=144.39
Sites, in units of the cell vectors:
Tb 0.1540 0.8460 0.7500
Tb 0.8460 0.1540 0.2500
Ni 0.0000 0.0000 0.0000
Ni 0.0000 0.0000 0.5000
Ni 0.2066 0.7934 0.0696
Ni 0.2066 0.7934 0.4304
Ni 0.4406 0.5594 0.6433
Ni 0.4406 0.5594 0.8567
Ni 0.5594 0.4406 0.1433
Ni 0.5594 0.4406 0.3567
Ni 0.7934 0.2066 0.5696
Ni 0.7934 0.2066 0.9304
B 0.1145 0.8855 0.2500
B 0.3888 0.6112 0.0383
B 0.3888 0.6112 0.4617
B 0.6112 0.3888 0.5383
B 0.6112 0.3888 0.9617
B 0.8855 0.1145 0.7500

---

TbNi2B2 after structural relaxation. Source: the Alexandria database, functional GGA-PBE.

Computed properties:
Uncorrected energy: -6.311 eV per atom
Space-group type: Imma (74)
ΔH_f (0 K): -38.8 kJ per mole of atoms

Unit cell a=9.3645 b=9.3645 c=9.3645 alpha=159.08 beta=156.79 gamma=31.44
Sites, in units of the cell vectors:
Tb 0.4202 0.1702 0.2500
Tb 0.5798 0.8298 0.7500
Ni 0.1982 0.9482 0.2500
Ni 0.2984 0.5484 0.7500
Ni 0.7016 0.4516 0.2500
Ni 0.8018 0.0518 0.7500
B 0.0268 0.2768 0.7500
B 0.1314 0.3814 0.7500
B 0.8686 0.6186 0.2500
B 0.9732 0.7232 0.2500

---

TbNiB after structural relaxation. Source: the Alexandria database, functional GGA-PBE.

Computed properties:
Uncorrected energy: -6.047 eV per atom
Space-group type: P-6m2 (187)
ΔH_f (0 K): -33.8 kJ per mole of atoms

Unit cell a=3.6624 b=3.6624 c=3.8609 alpha=90.00 beta=90.00 gamma=120.00
Sites, in units of the cell vectors:
Tb 0.0000 0.0000 0.0000
Ni 0.3333 0.6667 0.5000
B 0.6667 0.3333 0.5000

---

TbNi6B2 after structural relaxation. Source: the Alexandria database, functional GGA-PBE.

Computed properties:
Uncorrected energy: -6.018 eV per atom
Space-group type: Fd-3m (227)
ΔH_f (0 K): -16.0 kJ per mole of atoms

Unit cell a=6.9328 b=6.9328 c=6.9328 alpha=60.00 beta=60.00 gamma=60.00
Sites, in units of the cell vectors:
Tb 0.1250 0.1250 0.1250
Tb 0.8750 0.8750 0.8750
Ni 0.1667 0.1667 0.5833
Ni 0.1667 0.5833 0.1667
Ni 0.1667 0.5833 0.5833
Ni 0.4167 0.4167 0.8333
Ni 0.4167 0.8333 0.4167
Ni 0.4167 0.8333 0.8333
Ni 0.5833 0.1667 0.1667
Ni 0.5833 0.1667 0.5833
Ni 0.5833 0.5833 0.1667
Ni 0.8333 0.4167 0.4167
Ni 0.8333 0.4167 0.8333
Ni 0.8333 0.8333 0.4167
B 0.0000 0.5000 0.5000
B 0.5000 0.0000 0.5000
B 0.5000 0.5000 0.0000
B 0.5000 0.5000 0.5000

---

TbNi12B4 after structural relaxation. Source: the Alexandria database, functional GGA-PBE.

Computed properties:
Uncorrected energy: -6.047 eV per atom
Space-group type: Im-3 (204)
ΔH_f (0 K): -11.8 kJ per mole of atoms

Unit cell a=6.2730 b=6.2730 c=6.2730 alpha=109.47 beta=109.47 gamma=109.47
Sites, in units of the cell vectors:
Tb 0.0000 0.0000 0.0000
Ni 0.1500 0.8171 0.3329
Ni 0.1829 0.3329 0.5158
Ni 0.1829 0.6671 0.8500
Ni 0.3329 0.1500 0.8171
Ni 0.3329 0.5158 0.1829
Ni 0.4842 0.8171 0.6671
Ni 0.5158 0.1829 0.3329
Ni 0.6671 0.4842 0.8171
Ni 0.6671 0.8500 0.1829
Ni 0.8171 0.3329 0.1500
Ni 0.8171 0.6671 0.4842
Ni 0.8500 0.1829 0.6671
B 0.0000 0.0000 0.5000
B 0.0000 0.5000 0.0000
B 0.5000 0.0000 0.0000
B 0.5000 0.5000 0.5000

---

Tb2Ni21B6 after structural relaxation. Source: the Alexandria database, functional GGA-PBE.

Computed properties:
Uncorrected energy: -6.220 eV per atom
Space-group type: Fm-3m (225)
ΔH_f (0 K): -32.1 kJ per mole of atoms

Unit cell a=7.5587 b=7.5587 c=7.5587 alpha=60.00 beta=60.00 gamma=60.00
Sites, in units of the cell vectors:
Tb 0.2500 0.2500 0.2500
Tb 0.7500 0.7500 0.7500
Ni 0.0000 0.0000 0.0000
Ni 0.0000 0.0000 0.3363
Ni 0.0000 0.0000 0.6637
Ni 0.0000 0.3363 0.0000
Ni 0.0000 0.3363 0.6637
Ni 0.0000 0.6637 0.0000
Ni 0.0000 0.6637 0.3363
Ni 0.1643 0.6119 0.6119
Ni 0.3363 0.0000 0.0000
Ni 0.3363 0.0000 0.6637
Ni 0.3363 0.6637 0.0000
Ni 0.3881 0.3881 0.3881
Ni 0.3881 0.3881 0.8357
Ni 0.3881 0.8357 0.3881
Ni 0.6119 0.1643 0.6119
Ni 0.6119 0.6119 0.1643
Ni 0.6119 0.6119 0.6119
Ni 0.6637 0.0000 0.0000
Ni 0.6637 0.0000 0.3363
Ni 0.6637 0.3363 0.0000
Ni 0.8357 0.3881 0.3881
B 0.2703 0.2703 0.7297
B 0.2703 0.7297 0.2703
B 0.2703 0.7297 0.7297
B 0.7297 0.2703 0.2703
B 0.7297 0.2703 0.7297
B 0.7297 0.7297 0.2703

---

Tb4Ni13B4 after structural relaxation. Source: the Alexandria database, functional GGA-PBE.

Computed properties:
Uncorrected energy: -6.115 eV per atom
Space-group type: Cmmm (65)
ΔH_f (0 K): -36.9 kJ per mole of atoms

Unit cell a=8.5428 b=8.5428 c=3.8994 alpha=90.00 beta=90.00 gamma=90.86
Sites, in units of the cell vectors:
Tb 0.1902 0.8098 0.0000
Tb 0.3479 0.3479 0.0000
Tb 0.6521 0.6521 0.0000
Tb 0.8098 0.1902 0.0000
Ni 0.0000 0.0000 0.5000
Ni 0.0000 0.5000 0.0000
Ni 0.0756 0.2861 0.5000
Ni 0.1222 0.1222 0.0000
Ni 0.2096 0.5790 0.5000
Ni 0.2861 0.0756 0.5000
Ni 0.4210 0.7904 0.5000
Ni 0.5000 0.0000 0.0000
Ni 0.5790 0.2096 0.5000
Ni 0.7139 0.9244 0.5000
Ni 0.7904 0.4210 0.5000
Ni 0.8778 0.8778 0.0000
Ni 0.9244 0.7139 0.5000
B 0.0000 0.5000 0.5000
B 0.4353 0.5647 0.5000
B 0.5000 0.0000 0.5000
B 0.5647 0.4353 0.5000

---

Tb2NiB10 after structural relaxation. Source: the Alexandria database, functional GGA-PBE.

Computed properties:
Uncorrected energy: -6.813 eV per atom
Space-group type: Pbam (55)
ΔH_f (0 K): -50.1 kJ per mole of atoms

Unit cell a=5.5648 b=11.0971 c=4.1494 alpha=90.00 beta=90.00 gamma=90.00
Sites, in units of the cell vectors:
Tb 0.1867 0.1373 0.0000
Tb 0.3133 0.6373 0.0000
Tb 0.6867 0.3627 0.0000
Tb 0.8133 0.8627 0.0000
Ni 0.0000 0.5000 0.5000
Ni 0.5000 0.0000 0.5000
B 0.0307 0.3129 0.5000
B 0.1260 0.9591 0.5000
B 0.1584 0.8018 0.5000
B 0.2012 0.3859 0.1989
B 0.2012 0.3859 0.8011
B 0.2988 0.8859 0.1989
B 0.2988 0.8859 0.8011
B 0.3416 0.3018 0.5000
B 0.3740 0.4591 0.5000
B 0.4693 0.8129 0.5000
B 0.5307 0.1871 0.5000
B 0.6260 0.5409 0.5000
B 0.6584 0.6982 0.5000
B 0.7012 0.1141 0.1989
B 0.7012 0.1141 0.8011
B 0.7988 0.6141 0.1989
B 0.7988 0.6141 0.8011
B 0.8416 0.1982 0.5000
B 0.8740 0.0409 0.5000
B 0.9693 0.6871 0.5000